Entry 1:
VASP calculation (PBE) on Ba2ScTe3O12 after structural relaxation.

Geometry as extended XYZ:
```
18
Lattice="-6.7024 -1.8471 -2.5007 -4.6739 -3.4945 4.5311 -5.9019 3.6373 2.5546" Properties=species:S:1:pos:R:3 pbc="T T T"
Ba -11.5179 -1.1361 3.0564
Ba -5.7603 -0.5682 1.5286
Sc 0.0000 0.0000 0.0000
Te -3.3512 -0.9236 -1.2504
Te -2.3370 -1.7472 2.2656
Te -2.9509 1.8186 1.2773
O -9.1917 1.7020 3.0503
O -12.4914 -3.7099 2.7344
O -12.0214 -0.4893 5.7029
O -9.6866 -1.6887 -0.0752
O -13.2125 0.4780 1.5737
O -8.4325 -2.7072 4.2723
O -8.0865 -3.4063 1.5348
O -4.7867 2.0056 1.8507
O -5.2568 -1.2150 -1.1179
O -7.5916 -0.0156 4.6602
O -4.0657 -2.1823 3.0113
O -8.8457 1.0029 0.3128
```

Energy relative to the elements, uncorrected ... -1.78 eV/atom
D(E_F) ... 0.1922 states/eV/atom


Entry 2:
VASP calculation (PBE) on Pr3HoBi3 after structural relaxation.

Geometry as extended XYZ:
```
14
Lattice="-3.0725 8.6009 2.1110 -9.1932 1.6090 0.8766 -3.7357 1.9799 7.3088" Properties=species:S:1:pos:R:3 pbc="T T T"
Pr -11.4067 5.7442 6.8823
Pr -6.1347 8.7045 7.2551
Pr -6.2026 2.7946 5.9264
Pr -9.7989 9.3952 4.3701
Pr -9.8668 3.4854 3.0414
Pr -4.5947 6.4457 3.4142
Ho -4.0878 3.4002 1.0098
Ho -11.9137 8.7897 9.2867
Bi -6.6866 3.9860 2.8698
Bi -6.5830 8.9203 3.9766
Bi -11.0078 6.4885 3.6755
Bi -4.9937 5.7014 6.6209
Bi -9.4185 3.2695 6.3199
Bi -9.3148 8.2039 7.4267
```

Energy ... -5.08 eV per atom
D(E_F) ... 0.7437 states/eV/atom


Entry 3:
VASP calculation (PBE) on Co3W3N after structural relaxation.

Geometry as extended XYZ:
```
28
Lattice="-1.0756 1.8956 7.5036 -6.6901 -1.8649 3.5805 -0.0812 -5.5822 5.4669" Properties=species:S:1:pos:R:3 pbc="T T T"
Co -0.4239 -1.2327 4.3190
Co -7.1541 -1.3334 11.5163
Co -6.4831 -6.3791 10.1421
Co -7.2088 -5.1000 15.2052
Co -2.2499 -2.4557 3.0431
Co -2.5997 -1.8392 5.4835
Co -2.5733 -0.0237 3.7055
Co -2.6946 -3.8417 12.7893
Co -4.3259 -1.6264 3.8591
Co -1.0214 -3.4850 4.8023
Co -1.5187 0.2539 5.8207
Co -0.9809 -0.6939 2.0689
W -7.4517 -3.0193 13.5583
W -2.7623 -0.8711 7.9608
W -5.0845 -4.6803 8.5902
W -5.4900 -1.6314 9.4206
W -2.7954 -3.1471 10.1898
W -5.0514 -2.4043 6.3612
W -7.0132 -3.7922 10.4990
W -7.0463 -6.0682 12.7279
W -4.7240 -2.2590 12.0985
W -4.7571 -4.5349 14.3275
W -2.3569 -3.9200 7.1304
W -4.3186 -5.3078 11.2681
N -1.5593 -2.5372 8.5541
N -4.8637 -0.6786 7.6109
N -4.3665 -4.4174 6.5926
N -4.9043 -3.4696 10.3444
```

Energy relative to the elements, uncorrected ... -0.09 eV/atom
D(E_F) ... 0.8527 states/eV/atom


Entry 4:
VASP calculation (PBE) on LaMnW2 after structural relaxation.

Geometry as extended XYZ:
```
4
Lattice="5.6717 0.2180 -0.1657 2.3136 5.1830 0.1657 -3.2916 -3.7370 2.7283" Properties=species:S:1:pos:R:3 pbc="T T T"
La 3.9084 2.6435 0.0000
Mn 3.2701 -0.3526 1.2813
W 0.2247 0.1520 0.0000
W 1.2831 1.9216 1.4470
```

Energy ... -9.22 eV per atom
D(E_F) ... 0.7996 states/eV/atom